1.
DFT (PBE) results for a relaxed Sm2ScGe4Pd3 crystal.

The space group is P-4m2 (No. 115) and the conventional cell measures 4.210, 4.210 and 11.238 Å, with angles of 90.00, 90.00 and 90.00 degrees. The asymmetric unit holds Sm at (0.000, 0.500, 0.239), Sc at (0.000, 0.000, 0.500), Ge at (0.000, 0.000, 0.000), Ge at (0.000, 0.500, 0.652), Ge at (0.500, 0.500, 0.000), Pd at (0.000, 0.500, 0.873) and Pd at (0.500, 0.500, 0.500).

As for the energy of formation from the pure elements: -0.82 eV per atom. For the magnetic moment, the calculation gives 0.000 μB/f.u. For the total energy, the calculation gives -58.01 eV per cell.

2.
DFT (PBE) results for a relaxed SmScGe2Pd5 crystal.

The space group is P4/mmm (No. 123) and the conventional cell measures 4.187, 4.187 and 9.199 Å, with angles of 90.00, 90.00 and 90.00 degrees. The asymmetric unit holds Sm at (0.000, 0.000, 0.000), Sc at (0.000, 0.000, 0.500), Ge at (0.500, 0.500, 0.370), Pd at (0.000, 0.500, 0.230) and Pd at (0.500, 0.500, 0.000).

As for the energy of formation from the pure elements: -0.73 eV per atom. For the magnetic moment, the calculation gives 0.000 μB/f.u. For the total energy, the calculation gives -52.83 eV per cell.

3.
DFT (PBE) results for a relaxed ScTaGe2Pd crystal.

The space group is P4/mmm (No. 123) and the conventional cell measures 4.878, 4.878 and 4.582 Å, with angles of 90.00, 90.00 and 90.00 degrees. The asymmetric unit holds Sc at (0.000, 0.000, 0.000), Ta at (0.500, 0.500, 0.500), Ge at (0.000, 0.500, 0.000) and Pd at (0.000, 0.000, 0.500).

As for the energy of formation from the pure elements: 1.01 eV per atom. For the magnetic moment, the calculation gives 0.002 μB/f.u. For the total energy, the calculation gives -27.57 eV per cell.